# TlSnPd4

TlSnPd4 after structural relaxation (GGA-PBE, Alexandria via LeMat-Bulk).

a b c (Å): 7.5493 3.1984 17.7357
angles (deg): 90.00 90.00 90.00
Space group Pnma (No. 62)
Unique sites:
1 Tl 0.2249 0.2500 0.0546 (multiplicity 4)
2 Sn 0.2375 0.7500 0.3080 (multiplicity 4)
3 Pd 0.0307 0.7500 0.4313 (multiplicity 4)
4 Pd 0.0748 0.7500 0.7034 (multiplicity 4)
5 Pd 0.0935 0.7500 0.1725 (multiplicity 4)
6 Pd 0.1433 0.7500 0.9245 (multiplicity 4)

The total energy comes out at -4.849 eV per atom. The energy relative to the elements comes out at -0.33 eV/atom.